## P
A geometry-optimized HfBi3Pb structure, computed with PBEsol.

## Properties
- N(E_F): 3.65 states/eV per cell

a b c (Å): 5.5725 5.5725 5.5725
angles (deg): 90.00 90.00 90.00
With the nearest neighbours (Å) after each atom.
Space group Pm-3m (No. 221)
Asymmetric unit:
Hf 0.0000 0.0000 0.0000 (multiplicity 1)  6 Bi 2.79
Bi 0.0000 0.0000 0.5000 (multiplicity 3)  2 Hf 2.79
Pb 0.5000 0.5000 0.5000 (multiplicity 1)  12 Bi 3.94

## Q
A geometry-optimized HfBi3Pb structure, computed with PBEsol.

## Properties
- N(E_F): 6.20 states/eV per cell

a b c (Å): 5.6652 5.6652 5.6652
angles (deg): 90.00 90.00 90.00
With the nearest neighbours (Å) after each atom.
Space group Pm-3m (No. 221)
Asymmetric unit:
Hf 0.0000 0.0000 0.0000 (multiplicity 1)  12 Bi 4.01
Bi 0.0000 0.5000 0.5000 (multiplicity 3)  2 Pb 2.83
Pb 0.5000 0.5000 0.5000 (multiplicity 1)  6 Bi 2.83

P comes first in stability; the runner-up is 965 meV/atom higher.

## P
A geometry-optimized In2HgBi structure, computed with PBEsol.

## Properties
- N(E_F): 8.33 states/eV per cell

a b c (Å): 8.2928 8.2928 6.2887
angles (deg): 90.00 90.00 90.00
With the nearest neighbours (Å) after each atom.
Space group I-42d (No. 122)
Asymmetric unit:
In 0.2398 0.7500 0.1250 (multiplicity 8)  2 Hg 2.98, 2 Bi 3.09, 2 In 3.15
Hg 0.0000 0.0000 0.0000 (multiplicity 4)  4 In 2.98, 2 Bi 3.14
Bi 0.0000 0.0000 0.5000 (multiplicity 4)  4 In 3.09, 2 Hg 3.14

## Q
A geometry-optimized In2HgBi structure, computed with PBEsol.

## Properties
- N(E_F): 5.66 states/eV per cell

a b c (Å): 7.5451 7.5451 7.5451
angles (deg): 90.00 90.00 90.00
With the nearest neighbours (Å) after each atom.
Space group Fm-3m (No. 225)
Asymmetric unit:
In 0.2500 0.2500 0.2500 (multiplicity 8)  4 Hg 3.27, 4 Bi 3.27
Hg 0.0000 0.0000 0.0000 (multiplicity 4)  8 In 3.27
Bi 0.0000 0.0000 0.5000 (multiplicity 4)  8 In 3.27

Q comes first in stability; the runner-up is 55 meV/atom higher.

## P
A geometry-optimized La2HgBi2 structure, computed with PBEsol.

## Properties
- N(E_F): 1.02 states/eV per cell

a b c (Å): 8.6581 8.6581 4.2590
angles (deg): 90.00 90.00 90.00
With the nearest neighbours (Å) after each atom.
Space group P4/mbm (No. 127)
Asymmetric unit:
La 0.1450 0.3550 0.0000 (multiplicity 4)  6 Bi 3.20-3.39, 2 Hg 3.32, 1 La 3.55
Hg 0.0000 0.0000 0.0000 (multiplicity 2)  4 La 3.32
Bi 0.1599 0.6599 0.5000 (multiplicity 4)  6 La 3.20-3.39

## Q
A geometry-optimized La2HgBi2 structure, computed with PBEsol.

## Properties
- N(E_F): 10.19 states/eV per cell

a b c (Å): 6.2760 6.2760 9.1764
angles (deg): 90.00 90.00 90.00
With the nearest neighbours (Å) after each atom.
Space group I4/mmm (No. 139)
Asymmetric unit:
La 0.0000 0.5000 0.2500 (multiplicity 4)  4 Bi 3.21
Hg 0.0000 0.0000 0.0000 (multiplicity 2)  2 Bi 2.96
Bi 0.0000 0.0000 0.3230 (multiplicity 4)  1 Hg 2.96, 4 La 3.21, 1 Bi 3.25

P comes first in stability; the runner-up is 373 meV/atom higher.